a:
# CdAsP | the Alexandria database | PBE-GGA | relaxed
# Fermi-level density of states	0.8	states/eV per cell
# volume	150.54	Å³/cell
data_CdAsP
_cell_length_a 6.489
_cell_length_b 3.124
_cell_length_c 7.953
_cell_angle_alpha 90.00
_cell_angle_beta 111.00
_cell_angle_gamma 90.00
_symmetry_space_group_name_H-M 'P 1'
_symmetry_Int_Tables_number 1
loop_
_symmetry_equiv_pos_as_xyz
'x,y,z'
loop_
_atom_site_label
_atom_site_type_symbol
_atom_site_fract_x
_atom_site_fract_y
_atom_site_fract_z
Cd1 Cd 0.203 0.250 0.077
Cd2 Cd 0.797 0.750 0.923
As1 As 0.399 0.250 0.789
As2 As 0.601 0.750 0.211
P1 P 0.375 0.250 0.486
P2 P 0.625 0.750 0.514



b:
# CdAsP | the Alexandria database | PBE-GGA | relaxed
# Fermi-level density of states	0.2	states/eV per cell
# volume	75.05	Å³/cell
data_CdAsP
_cell_length_a 3.410
_cell_length_b 3.410
_cell_length_c 7.450
_cell_angle_alpha 90.00
_cell_angle_beta 90.00
_cell_angle_gamma 120.00
_symmetry_space_group_name_H-M 'P 1'
_symmetry_Int_Tables_number 1
loop_
_symmetry_equiv_pos_as_xyz
'x,y,z'
loop_
_atom_site_label
_atom_site_type_symbol
_atom_site_fract_x
_atom_site_fract_y
_atom_site_fract_z
Cd1 Cd 0.000 0.000 0.000
As1 As 0.667 0.333 0.560
P1 P 0.333 0.667 0.380



c:
# CdAsP | the Alexandria database | PBE-GGA | relaxed
# Fermi-level density of states	8.6	states/eV per cell
# volume	260.30	Å³/cell
data_CdAsP
_cell_length_a 3.351
_cell_length_b 5.169
_cell_length_c 15.026
_cell_angle_alpha 90.00
_cell_angle_beta 90.00
_cell_angle_gamma 90.00
_symmetry_space_group_name_H-M 'P 1'
_symmetry_Int_Tables_number 1
loop_
_symmetry_equiv_pos_as_xyz
'x,y,z'
loop_
_atom_site_label
_atom_site_type_symbol
_atom_site_fract_x
_atom_site_fract_y
_atom_site_fract_z
Cd1 Cd 0.000 0.000 0.000
Cd2 Cd 0.000 0.500 0.500
Cd3 Cd 0.500 0.000 0.500
Cd4 Cd 0.500 0.500 0.000
As1 As 0.000 0.000 0.702
As2 As 0.000 0.500 0.202
As3 As 0.500 0.000 0.202
As4 As 0.500 0.500 0.702
P1 P 0.000 0.000 0.317
P2 P 0.000 0.500 0.817
P3 P 0.500 0.000 0.817
P4 P 0.500 0.500 0.317



d:
# CdAsP | the Alexandria database | PBE-GGA | relaxed
# Fermi-level density of states	1.9	states/eV per cell
# volume	151.11	Å³/cell
data_CdAsP
_cell_length_a 2.716
_cell_length_b 5.185
_cell_length_c 10.732
_cell_angle_alpha 90.00
_cell_angle_beta 90.00
_cell_angle_gamma 90.00
_symmetry_space_group_name_H-M 'P 1'
_symmetry_Int_Tables_number 1
loop_
_symmetry_equiv_pos_as_xyz
'x,y,z'
loop_
_atom_site_label
_atom_site_type_symbol
_atom_site_fract_x
_atom_site_fract_y
_atom_site_fract_z
Cd1 Cd 0.000 0.000 0.000
Cd2 Cd 0.500 0.500 0.500
As1 As 0.000 0.000 0.705
As2 As 0.500 0.500 0.205
P1 P 0.000 0.000 0.489
P2 P 0.500 0.500 0.989



Which of them is the most stable, and which is the least stable? a and c, in that order.



a:
# Cd3AsP | the Alexandria database | PBE-GGA | relaxed
# Fermi-level density of states	3.6	states/eV per cell
# volume	126.66	Å³/cell
data_Cd3AsP
_cell_length_a 5.022
_cell_length_b 5.022
_cell_length_c 5.022
_cell_angle_alpha 90.00
_cell_angle_beta 90.00
_cell_angle_gamma 90.00
_symmetry_space_group_name_H-M 'P 1'
_symmetry_Int_Tables_number 1
loop_
_symmetry_equiv_pos_as_xyz
'x,y,z'
loop_
_atom_site_label
_atom_site_type_symbol
_atom_site_fract_x
_atom_site_fract_y
_atom_site_fract_z
Cd1 Cd 0.000 0.000 0.500
Cd2 Cd 0.000 0.500 0.000
Cd3 Cd 0.500 0.000 0.000
As1 As 0.500 0.500 0.500
P1 P 0.000 0.000 0.000



b:
# Cd3AsP | the Alexandria database | PBE-GGA | relaxed
# Fermi-level density of states	0.5	states/eV per cell
# volume	252.48	Å³/cell
data_Cd3AsP
_cell_length_a 6.112
_cell_length_b 4.507
_cell_length_c 9.166
_cell_angle_alpha 90.00
_cell_angle_beta 90.08
_cell_angle_gamma 90.00
_symmetry_space_group_name_H-M 'P 1'
_symmetry_Int_Tables_number 1
loop_
_symmetry_equiv_pos_as_xyz
'x,y,z'
loop_
_atom_site_label
_atom_site_type_symbol
_atom_site_fract_x
_atom_site_fract_y
_atom_site_fract_z
Cd1 Cd 0.001 0.250 0.353
Cd2 Cd 0.241 0.750 0.964
Cd3 Cd 0.498 0.750 0.645
Cd4 Cd 0.502 0.250 0.355
Cd5 Cd 0.759 0.250 0.036
Cd6 Cd 0.999 0.750 0.647
As1 As 0.253 0.250 0.106
As2 As 0.747 0.750 0.894
P1 P 0.250 0.250 0.596
P2 P 0.750 0.750 0.404



Which of them is the most stable, and which is the least stable? b and a, in that order.



a:
# CdAs3P | the Alexandria database | PBE-GGA | relaxed
# Fermi-level density of states	4.9	states/eV per cell
# volume	111.91	Å³/cell
data_CdAs3P
_cell_length_a 4.819
_cell_length_b 4.819
_cell_length_c 4.819
_cell_angle_alpha 90.00
_cell_angle_beta 90.00
_cell_angle_gamma 90.00
_symmetry_space_group_name_H-M 'P 1'
_symmetry_Int_Tables_number 1
loop_
_symmetry_equiv_pos_as_xyz
'x,y,z'
loop_
_atom_site_label
_atom_site_type_symbol
_atom_site_fract_x
_atom_site_fract_y
_atom_site_fract_z
Cd1 Cd 0.000 0.000 0.000
As1 As 0.000 0.500 0.500
As2 As 0.500 0.000 0.500
As3 As 0.500 0.500 0.000
P1 P 0.500 0.500 0.500



b:
# CdAs3P | the Alexandria database | PBE-GGA | relaxed
# Fermi-level density of states	5.2	states/eV per cell
# volume	131.58	Å³/cell
data_CdAs3P
_cell_length_a 5.086
_cell_length_b 5.086
_cell_length_c 5.086
_cell_angle_alpha 90.00
_cell_angle_beta 90.00
_cell_angle_gamma 90.00
_symmetry_space_group_name_H-M 'P 1'
_symmetry_Int_Tables_number 1
loop_
_symmetry_equiv_pos_as_xyz
'x,y,z'
loop_
_atom_site_label
_atom_site_type_symbol
_atom_site_fract_x
_atom_site_fract_y
_atom_site_fract_z
Cd1 Cd 0.000 0.000 0.000
As1 As 0.000 0.000 0.500
As2 As 0.000 0.500 0.000
As3 As 0.500 0.000 0.000
P1 P 0.500 0.500 0.500



Which of them is the most stable, and which is the least stable? a and b, in that order.



a:
# CdAsPSe2 | the Alexandria database | PBE-GGA | relaxed
# Fermi-level density of states	5.9	states/eV per cell
# volume	116.45	Å³/cell
data_CdAsPSe2
_cell_length_a 4.996
_cell_length_b 4.996
_cell_length_c 4.666
_cell_angle_alpha 90.00
_cell_angle_beta 90.00
_cell_angle_gamma 90.00
_symmetry_space_group_name_H-M 'P 1'
_symmetry_Int_Tables_number 1
loop_
_symmetry_equiv_pos_as_xyz
'x,y,z'
loop_
_atom_site_label
_atom_site_type_symbol
_atom_site_fract_x
_atom_site_fract_y
_atom_site_fract_z
Cd1 Cd 0.000 0.000 0.000
As1 As 0.500 0.500 0.000
P1 P 0.500 0.500 0.500
Se1 Se 0.000 0.500 0.500
Se2 Se 0.500 0.000 0.500



b:
# CdAsPSe2 | the Alexandria database | PBE-GGA | relaxed
# Fermi-level density of states	5.3	states/eV per cell
# volume	135.20	Å³/cell
data_CdAsPSe2
_cell_length_a 5.117
_cell_length_b 5.117
_cell_length_c 5.163
_cell_angle_alpha 90.00
_cell_angle_beta 90.00
_cell_angle_gamma 90.00
_symmetry_space_group_name_H-M 'P 1'
_symmetry_Int_Tables_number 1
loop_
_symmetry_equiv_pos_as_xyz
'x,y,z'
loop_
_atom_site_label
_atom_site_type_symbol
_atom_site_fract_x
_atom_site_fract_y
_atom_site_fract_z
Cd1 Cd 0.000 0.000 0.000
As1 As 0.000 0.000 0.500
P1 P 0.500 0.500 0.500
Se1 Se 0.000 0.500 0.000
Se2 Se 0.500 0.000 0.000



Which of them is the most stable, and which is the least stable? a and b, in that order.



a:
# PaCdAs2 | the Alexandria database | PBE-GGA | relaxed
# Fermi-level density of states	13.1	states/eV per cell
# volume	384.12	Å³/cell
data_PaCdAs2
_cell_length_a 4.255
_cell_length_b 4.255
_cell_length_c 24.499
_cell_angle_alpha 90.00
_cell_angle_beta 90.00
_cell_angle_gamma 120.00
_symmetry_space_group_name_H-M 'P 1'
_symmetry_Int_Tables_number 1
loop_
_symmetry_equiv_pos_as_xyz
'x,y,z'
loop_
_atom_site_label
_atom_site_type_symbol
_atom_site_fract_x
_atom_site_fract_y
_atom_site_fract_z
Pa1 Pa 0.000 0.000 0.000
Pa2 Pa 0.333 0.667 0.667
Pa3 Pa 0.667 0.333 0.333
Cd1 Cd 0.000 0.000 0.500
Cd2 Cd 0.333 0.667 0.167
Cd3 Cd 0.667 0.333 0.833
As1 As 0.000 0.000 0.393
As2 As 0.000 0.000 0.607
As3 As 0.333 0.667 0.060
As4 As 0.333 0.667 0.273
As5 As 0.667 0.333 0.727
As6 As 0.667 0.333 0.940



b:
# PaCdAs2 | the Alexandria database | PBE-GGA | relaxed
# Fermi-level density of states	3.2	states/eV per cell
# volume	83.46	Å³/cell
data_PaCdAs2
_cell_length_a 4.703
_cell_length_b 4.703
_cell_length_c 3.774
_cell_angle_alpha 90.00
_cell_angle_beta 90.00
_cell_angle_gamma 90.00
_symmetry_space_group_name_H-M 'P 1'
_symmetry_Int_Tables_number 1
loop_
_symmetry_equiv_pos_as_xyz
'x,y,z'
loop_
_atom_site_label
_atom_site_type_symbol
_atom_site_fract_x
_atom_site_fract_y
_atom_site_fract_z
Pa1 Pa 0.000 0.000 0.000
Cd1 Cd 0.500 0.500 0.000
As1 As 0.000 0.500 0.500
As2 As 0.500 0.000 0.500



Which of them is the most stable, and which is the least stable? b and a, in that order.



a:
# Cd2AsPb | the Alexandria database | PBE-GGA | relaxed
# Fermi-level density of states	2.4	states/eV per cell
# volume	207.96	Å³/cell
data_Cd2AsPb
_cell_length_a 3.918
_cell_length_b 4.265
_cell_length_c 12.447
_cell_angle_alpha 90.00
_cell_angle_beta 90.00
_cell_angle_gamma 90.00
_symmetry_space_group_name_H-M 'P 1'
_symmetry_Int_Tables_number 1
loop_
_symmetry_equiv_pos_as_xyz
'x,y,z'
loop_
_atom_site_label
_atom_site_type_symbol
_atom_site_fract_x
_atom_site_fract_y
_atom_site_fract_z
Cd1 Cd 0.000 0.000 0.000
Cd2 Cd 0.000 0.500 0.179
Cd3 Cd 0.500 0.000 0.679
Cd4 Cd 0.500 0.500 0.500
As1 As 0.000 0.000 0.486
As2 As 0.500 0.500 0.986
Pb1 Pb 0.000 0.500 0.796
Pb2 Pb 0.500 0.000 0.296



b:
# Cd2AsPb | the Alexandria database | PBE-GGA | relaxed
# Fermi-level density of states	4.6	states/eV per cell
# volume	294.46	Å³/cell
data_Cd2AsPb
_cell_length_a 3.237
_cell_length_b 3.237
_cell_length_c 32.447
_cell_angle_alpha 90.00
_cell_angle_beta 90.00
_cell_angle_gamma 120.00
_symmetry_space_group_name_H-M 'P 1'
_symmetry_Int_Tables_number 1
loop_
_symmetry_equiv_pos_as_xyz
'x,y,z'
loop_
_atom_site_label
_atom_site_type_symbol
_atom_site_fract_x
_atom_site_fract_y
_atom_site_fract_z
Cd1 Cd 0.000 0.000 0.242
Cd2 Cd 0.000 0.000 0.758
Cd3 Cd 0.333 0.667 0.424
Cd4 Cd 0.333 0.667 0.909
Cd5 Cd 0.667 0.333 0.091
Cd6 Cd 0.667 0.333 0.576
As1 As 0.000 0.000 0.500
As2 As 0.333 0.667 0.167
As3 As 0.667 0.333 0.833
Pb1 Pb 0.000 0.000 0.000
Pb2 Pb 0.333 0.667 0.667
Pb3 Pb 0.667 0.333 0.333



Which of them is the most stable, and which is the least stable? a and b, in that order.